Ce4Ge2Au | PBE | relaxed

Lattice parameters (Å, degrees): 4.2775 4.2775 12.2131 79.91 79.91 60.00
Closest atoms and distances in Å follow each position.
Fractional coordinates of all 7 atoms:
Ge 0.9009 0.9009 0.2972  7 Ce 2.98-3.19
Ge 0.0991 0.0991 0.7028  7 Ce 2.98-3.19
Ce 0.6150 0.6150 0.1550  3 Ge 3.00, 3 Au 3.09
Ce 0.1880 0.1880 0.4359  3 Ce 2.91, 4 Ge 2.98-3.19
Ce 0.3850 0.3850 0.8450  3 Ge 3.00, 3 Au 3.09
Ce 0.8120 0.8120 0.5641  3 Ce 2.91, 4 Ge 2.98-3.19
Au 0.0000 0.0000 0.0000  6 Ce 3.09

Results
- symmetry = No. 166
- DFT formation energy (eV per atom) = -0.463
- energy (eV per atom) = -5.64
- magnetization (μB/atom) = 0.500